An optimized crystal structure of Pt3Rh2, computed with PBE.

The raw total energy comes out at -6.589 eV per atom. For the formation enthalpy at 0 K, the calculation gives -0.1 eV per formula unit. Its space group is No. 139. For the relative energy among the computed polymorphs, the calculation gives 0.000 eV per atom.

```
Pt3Rh2
1.0
-0.9713 -2.1015 -1.5198
1.8408 0.5846 -1.9848
6.0376 -5.2868 5.9746
Pt Rh
3 2
Direct
0.3022 0.3022 0.6043
0.6978 0.6978 0.3957
0.5000 0.5000 0.0000
0.9014 0.9014 0.8029
0.0986 0.0986 0.1971
```

An optimized crystal structure of Pt3Rh, computed with PBE.

The raw total energy comes out at -6.317 eV per atom. For the formation enthalpy at 0 K, the calculation gives 0.2 eV per formula unit. Its space group is No. 187.

```
Pt3Rh
1.0
2.7628 0.0000 0.0000
-1.3814 2.3927 0.0000
0.0000 0.0000 9.3366
Pt Rh
3 1
Direct
0.0000 0.0000 0.9937
0.3333 0.6667 0.2500
0.0000 0.0000 0.5063
0.3333 0.6667 0.7500
```

An optimized crystal structure of Pt5Rh7, computed with PBE.

The raw total energy comes out at -6.804 eV per atom. For the formation enthalpy at 0 K, the calculation gives 0.0 eV per formula unit. Its space group is No. 12. For the relative energy among the computed polymorphs, the calculation gives 0.000 eV per atom.

```
Pt5Rh7
1.0
2.7126 0.0000 0.4278
1.0880 6.9326 1.9154
-0.1023 0.1002 9.4627
Rh Pt
7 5
Direct
0.6666 0.6652 0.0016
0.3632 0.0268 0.2467
0.6368 0.9732 0.7533
0.3334 0.3348 0.9984
0.5000 0.5000 0.5000
0.9729 0.3034 0.7507
0.0271 0.6966 0.2493
0.3054 0.6362 0.7530
0.6946 0.3638 0.2470
0.8352 0.8324 0.4973
0.0000 0.0000 0.0000
0.1648 0.1676 0.5027
```

An optimized crystal structure of Pt2Rh3, computed with PBE.

The raw total energy comes out at -6.723 eV per atom. For the formation enthalpy at 0 K, the calculation gives 0.5 eV per formula unit. Its space group is No. 43. For the relative energy among the computed polymorphs, the calculation gives 0.000 eV per atom.

```
Pt2Rh3
1.0
-7.7190 2.1150 1.0116
-4.4145 5.3465 -1.4026
-3.7769 -2.6262 -2.4555
Rh Pt
6 4
Direct
0.3511 0.4544 0.7262
0.1907 0.3093 0.3093
0.4683 0.7262 0.4544
0.7956 0.8989 0.7817
0.5238 0.7817 0.8989
0.9407 0.0593 0.0593
0.0489 0.3561 0.9040
0.6909 0.9040 0.3561
0.3460 0.5591 0.2011
0.8939 0.2011 0.5591
```

An optimized crystal structure of PtRh, computed with PBE.

The raw total energy comes out at -5.870 eV per atom. For the formation enthalpy at 0 K, the calculation gives 1.7 eV per formula unit. Its space group is No. 194.

```
PtRh
1.0
4.3356 0.0000 0.0000
-2.1678 3.7547 0.0000
0.0000 0.0000 5.1257
Rh Pt
2 2
Direct
0.3333 0.6667 0.2500
0.6667 0.3333 0.7500
0.6667 0.3333 0.2500
0.3333 0.6667 0.7500
```

An optimized crystal structure of PtRh8, computed with PBE.

The raw total energy comes out at -7.216 eV per atom. For the formation enthalpy at 0 K, the calculation gives -0.1 eV per formula unit. Its space group is No. 139.

```
PtRh8
1.0
-6.0938 0.2940 -0.0528
-0.8887 -5.9906 -0.7392
-5.7721 -5.0870 2.8046
Rh Pt
8 1
Direct
0.0000 0.0000 0.3352
0.6685 0.3315 0.3315
0.3315 0.6685 0.3315
0.3315 0.6685 0.6685
0.0000 0.0000 0.6648
0.3352 0.6648 0.0000
0.6648 0.3352 0.0000
0.6685 0.3315 0.6685
0.0000 0.0000 0.0000
```